[1]
## Rb2ErPaO6 (PBE)

Data for crystalline Rb2ErPaO6 at its relaxed geometry.

Cell lengths 6.241, 6.240, 6.242 Å; angles 59.97, 60.00, 90.00 degrees
Positions (direct):
Rb 0.750 0.250 0.500
O 0.244 0.245 0.511
O 0.245 0.245 0.000
O 0.244 0.755 0.000
O 0.756 0.755 0.489
Er 0.500 0.500 0.000
O 0.756 0.245 0.000
Pa 0.000 0.000 0.000
O 0.755 0.755 0.000
Rb 0.250 0.750 0.500

- formation energy (no corrections) (eV/f.u.) = -25.54
- crystal system = cubic
- SG = Fm-3m, No. 225

---

[2]
## RbNa5Sr4 (PBE)

Data for crystalline RbNa5Sr4 at its relaxed geometry.

Cell lengths 4.478, 4.478, 24.174 Å; angles 90.00, 90.00, 90.00 degrees
Positions (direct):
Na 0.500 0.500 0.879
Rb 0.000 0.000 0.000
Sr 0.000 0.000 0.595
Na 0.500 0.500 0.311
Na 0.500 0.500 0.689
Sr 0.000 0.000 0.405
Sr 0.000 0.000 0.217
Na 0.500 0.500 0.500
Sr 0.000 0.000 0.783
Na 0.500 0.500 0.121

- ΔE_f (eV/atom) = 0.03
- crystal system = tetragonal
- SG = P4/mmm, No. 123

---

[3]
## HfFeAs2 (PBE)

Data for crystalline HfFeAs2 at its relaxed geometry.

Cell lengths 4.543, 4.543, 4.543 Å; angles 60.00, 60.00, 60.00 degrees
Positions (direct):
Hf 0.500 0.500 0.500
As 0.250 0.250 0.250
Fe 0.000 0.000 0.000
As 0.750 0.750 0.750

- polymorph energy (0 for the lowest one) (meV per atom) = 141.4
- ΔE_f (eV/atom) = -0.22
- crystal system = cubic
- SG = Fm-3m, No. 225

---

V values (in Å³/cell) by entry order: 171.8, 484.8, 66.3.